Crystalline BaTlI2O at its relaxed geometry. Source: the Alexandria database, functional PBE.

The energy above the most stable polymorph in this dataset is 84 meV/atom. The value obtained for the formation energy from raw total energies is -0.896 eV per atom. For the total DFT energy (no corrections), the calculation gives -0.12367 hartree per atom.

Cell lengths 6.4237, 6.4237, 4.3208 Å; angles 90.00, 90.00, 90.00 degrees
Atoms (fractional coordinates):
I 0.5000 0.0000 0.0000
I 0.0000 0.5000 0.0000
O 0.0000 0.0000 0.5000
Tl 0.0000 0.0000 0.0000
Ba 0.5000 0.5000 0.5000